[1]
Compound: Be2CrW
Source: Alexandria
Functional: PBEsol
Structure: relaxed

Cell and atoms, written as POSCAR:
```
Be2CrW
1.0
-0.656 3.297 0.920
-2.204 -1.124 2.456
2.727 -0.125 2.390
W Be Cr
1 2 1
Direct
0.000 0.000 0.500
0.500 0.000 0.000
0.000 0.500 0.000
0.500 0.500 0.500
```

Spin magnetization, μB per formula unit: 0.00
Calculated density, g cm⁻³: 9.6
Energy above the lowest structure with this stoichiometry, meV/atom: 0.0
Volume, Å³ per cell: 44.1
Calculated formation energy, eV/atom: 0.15

***

[2]
Compound: NaAg2BAu
Source: Alexandria
Functional: PBEsol
Structure: relaxed

Cell and atoms, written as POSCAR:
```
NaAg2BAu
1.0
-0.538 1.452 -3.937
3.740 -1.635 -1.114
-2.119 -4.031 -1.197
Na Ag Au B
1 2 1 1
Direct
0.000 0.000 0.500
0.000 0.500 0.000
0.500 0.000 0.000
0.500 0.500 0.500
0.000 0.000 0.000
```

Spin magnetization, μB per formula unit: 0.00
Calculated density, g cm⁻³: 8.8
Volume, Å³ per cell: 84.3
Calculated formation energy, eV/atom: 0.53

***

[3]
Compound: Mn2SiPOs
Source: Alexandria
Functional: PBEsol
Structure: relaxed

Cell and atoms, written as POSCAR:
```
Mn2SiPOs
1.0
-0.885 2.651 2.959
2.739 -1.789 2.422
3.078 2.692 -1.491
Mn Os Si P
2 1 1 1
Direct
0.000 0.500 0.000
0.500 0.000 0.000
0.500 0.500 0.500
0.000 0.000 0.500
0.000 0.000 0.000
```

Spin magnetization, μB per formula unit: 4.88
Calculated density, g cm⁻³: 8.3
Final energy, eV per atom: -7.6962
Volume, Å³ per cell: 72.1

***

[4]
Compound: NaIrSeN2
Source: Alexandria
Functional: PBEsol
Structure: relaxed

Cell and atoms, written as POSCAR:
```
NaIrSeN2
1.0
3.972 0.000 0.000
0.000 3.972 0.000
0.000 0.000 5.143
Ir N Na Se
1 2 1 1
Direct
0.500 0.500 0.500
0.500 0.000 0.000
0.000 0.500 0.000
0.000 0.000 0.000
0.000 0.000 0.500
```

Spin magnetization, μB per formula unit: 3.68
Calculated density, g cm⁻³: 6.6
Final energy, eV per atom: -3.7993
Volume, Å³ per cell: 81.2

***

[5]
Compound: Zr2TaP
Source: Alexandria
Functional: PBEsol
Structure: relaxed

Cell and atoms, written as POSCAR:
```
Zr2TaP
1.0
3.402 0.000 0.000
-1.701 4.530 0.008
0.000 -1.305 4.692
Ta Zr P
1 2 1
Direct
0.000 0.000 0.500
0.773 0.545 0.777
0.227 0.455 0.223
0.500 0.000 0.000
```

Spin magnetization, μB per formula unit: 0.00
Calculated density, g cm⁻³: 9.1
Volume, Å³ per cell: 72.3
Calculated formation energy, eV/atom: -0.32

***

[6]
Compound: K2ZrTl
Source: Alexandria
Functional: PBEsol
Structure: relaxed

Cell and atoms, written as POSCAR:
```
K2ZrTl
1.0
3.199 0.000 0.000
0.000 6.354 0.000
0.000 -3.177 6.184
K Tl Zr
2 1 1
Direct
0.000 0.500 0.500
0.000 0.000 0.500
0.500 0.000 0.000
0.500 0.500 0.000
```

Spin magnetization, μB per formula unit: 1.17
Calculated density, g cm⁻³: 4.9
Energy above the lowest structure with this stoichiometry, meV/atom: 79.4
Volume, Å³ per cell: 125.7
Calculated formation energy, eV/atom: 0.62

***

[7]
Compound: LiZrHg2
Source: Alexandria
Functional: PBEsol
Structure: relaxed

Cell and atoms, written as POSCAR:
```
LiZrHg2
1.0
3.189 0.000 0.000
0.000 3.189 0.000
0.000 0.000 7.322
Li Hg Zr
1 2 1
Direct
0.500 0.500 0.500
0.000 0.000 0.722
0.000 0.000 0.278
0.500 0.500 0.000
```

Spin magnetization, μB per formula unit: 0.00
Calculated density, g cm⁻³: 11.1
Volume, Å³ per cell: 74.5
Calculated formation energy, eV/atom: -0.34

***

[8]
Compound: LaAg4
Source: Alexandria
Functional: PBEsol
Structure: relaxed

Cell and atoms, written as POSCAR:
```
LaAg4
1.0
4.102 0.000 0.000
0.000 4.102 0.000
-2.051 -2.051 6.341
Ag La
4 1
Direct
0.606 0.606 0.211
0.394 0.394 0.789
0.250 0.750 0.500
0.750 0.250 0.500
0.000 0.000 0.000
```

Spin magnetization, μB per formula unit: 0.00
Calculated density, g cm⁻³: 8.9
Volume, Å³ per cell: 106.7
Calculated formation energy, eV/atom: -0.12

***

[9]
Compound: La3ReHg
Source: Alexandria
Functional: PBEsol
Structure: relaxed

Cell and atoms, written as POSCAR:
```
La3ReHg
1.0
-1.208 -1.579 -5.076
-0.303 -5.177 1.682
-5.308 0.654 1.059
La Hg Re
3 1 1
Direct
0.000 0.000 0.500
0.000 0.500 0.000
0.500 0.000 0.000
0.500 0.500 0.500
0.000 0.000 0.000
```

Spin magnetization, μB per formula unit: 0.00
Calculated density, g cm⁻³: 8.2
Volume, Å³ per cell: 162.0
Calculated formation energy, eV/atom: 0.12

***

[10]
Compound: MgSi6Ni6
Source: Alexandria
Functional: PBEsol
Structure: relaxed

Cell and atoms, written as POSCAR:
```
MgSi6Ni6
1.0
-0.922 -4.745 -0.266
2.321 1.803 3.847
-6.646 1.095 3.497
Ni Si Mg
6 6 1
Direct
0.000 0.500 0.750
0.500 0.000 0.250
0.500 0.000 0.750
0.500 0.500 0.250
0.000 0.500 0.250
0.500 0.500 0.750
0.333 0.667 0.000
0.667 0.333 0.000
0.667 0.333 0.500
0.000 0.000 0.654
0.333 0.667 0.500
0.000 0.000 0.346
0.000 0.000 0.000
```

Spin magnetization, μB per formula unit: 0.00
Calculated density, g cm⁻³: 5.9
Final energy, eV per atom: -6.1411
Volume, Å³ per cell: 154.0

***

[11]
Compound: Ag3BAs
Source: Alexandria
Functional: PBEsol
Structure: relaxed

Cell and atoms, written as POSCAR:
```
Ag3BAs
1.0
-2.644 -3.624 1.742
-0.334 -1.880 -4.418
4.007 -2.548 0.782
Ag B As
3 1 1
Direct
0.500 0.000 0.000
0.000 0.000 0.500
0.000 0.500 0.000
0.500 0.500 0.500
0.000 0.000 0.000
```

Spin magnetization, μB per formula unit: 0.00
Calculated density, g cm⁻³: 6.1
Volume, Å³ per cell: 111.5
Calculated formation energy, eV/atom: 1.31

***

[12]
Compound: KZrSb2
Source: Alexandria
Functional: PBEsol
Structure: relaxed

Cell and atoms, written as POSCAR:
```
KZrSb2
1.0
-2.294 -1.895 -3.214
-1.860 -2.690 2.914
-1.806 5.764 0.876
Sb Zr K
2 1 1
Direct
0.000 0.000 0.000
0.750 0.250 0.500
0.500 0.500 0.000
0.250 0.750 0.500
```

Spin magnetization, μB per formula unit: 0.00
Calculated density, g cm⁻³: 6.2
Energy above the lowest structure with this stoichiometry, meV/atom: 469.2
Volume, Å³ per cell: 100.9

***

[13]
Compound: Mn3TcSe
Source: Alexandria
Functional: PBEsol
Structure: relaxed

Cell and atoms, written as POSCAR:
```
Mn3TcSe
1.0
-4.436 -0.446 0.759
-0.543 -1.681 -4.163
0.692 -4.175 1.596
Mn Tc Se
3 1 1
Direct
0.000 0.000 0.500
0.500 0.000 0.000
0.000 0.500 0.000
0.000 0.000 0.000
0.500 0.500 0.500
```

Spin magnetization, μB per formula unit: 8.71
Calculated density, g cm⁻³: 6.1
Final energy, eV per atom: -7.5725
Volume, Å³ per cell: 92.5

***

[14]
Compound: K2InAu
Source: Alexandria
Functional: PBEsol
Structure: relaxed

Cell and atoms, written as POSCAR:
```
K2InAu
1.0
-3.226 -0.310 3.423
3.543 -3.205 -0.197
3.249 6.875 3.686
K In Au
2 1 1
Direct
0.213 0.425 0.649
0.035 0.070 0.102
0.792 0.583 0.376
0.461 0.921 0.374
```

Spin magnetization, μB per formula unit: 0.00
Calculated density, g cm⁻³: 4.1
Volume, Å³ per cell: 157.0
Calculated formation energy, eV/atom: -0.17

***

[15]
Compound: TlMo2Os
Source: Alexandria
Functional: PBEsol
Structure: relaxed

Cell and atoms, written as POSCAR:
```
TlMo2Os
1.0
-2.825 -0.493 0.220
0.802 -2.841 3.936
0.825 4.511 1.900
Tl Mo Os
1 2 1
Direct
0.753 0.250 0.506
0.989 0.971 0.977
0.244 0.743 0.487
0.515 0.537 0.029
```

Spin magnetization, μB per formula unit: 0.00
Calculated density, g cm⁻³: 14.8
Energy above the lowest structure with this stoichiometry, meV/atom: 0.0
Volume, Å³ per cell: 65.9
Calculated formation energy, eV/atom: 0.55

***

[16]
Compound: MnBiI2O
Source: Alexandria
Functional: PBEsol
Structure: relaxed

Cell and atoms, written as POSCAR:
```
MnBiI2O
1.0
4.281 0.000 0.000
0.000 6.170 0.000
0.000 0.000 6.170
O Mn I Bi
1 1 2 1
Direct
0.500 0.000 0.000
0.500 0.500 0.500
0.000 0.000 0.500
0.000 0.500 0.000
0.000 0.000 0.000
```

Spin magnetization, μB per formula unit: 5.84
Calculated density, g cm⁻³: 5.4
Final energy, eV per atom: -4.3380
Volume, Å³ per cell: 163.0

***

[17]
Compound: NbIn3Cl
Source: Alexandria
Functional: PBEsol
Structure: relaxed

Cell and atoms, written as POSCAR:
```
NbIn3Cl
1.0
5.042 0.000 0.000
0.000 5.042 0.000
0.000 0.000 5.042
Cl Nb In
1 1 3
Direct
0.000 0.000 0.000
0.500 0.500 0.500
0.000 0.500 0.000
0.500 0.000 0.000
0.000 0.000 0.500
```

Spin magnetization, μB per formula unit: 0.00
Calculated density, g cm⁻³: 6.1
Final energy, eV per atom: -3.4437
Volume, Å³ per cell: 128.2

***

[18]
Compound: BeAsRhSe2
Source: Alexandria
Functional: PBEsol
Structure: relaxed

Cell and atoms, written as POSCAR:
```
BeAsRhSe2
1.0
-1.009 1.169 3.905
0.416 -4.215 1.369
4.300 0.716 0.897
Rh As Se Be
1 1 2 1
Direct
0.500 0.500 0.500
0.500 0.000 0.000
0.000 0.000 0.500
0.000 0.500 0.000
0.000 0.000 0.000
```

Spin magnetization, μB per formula unit: 0.00
Calculated density, g cm⁻³: 6.9
Final energy, eV per atom: -4.4227
Volume, Å³ per cell: 83.2

***

[19]
Compound: Zn2AgAu
Source: Alexandria
Functional: PBEsol
Structure: relaxed

Cell and atoms, written as POSCAR:
```
Zn2AgAu
1.0
-3.595 2.514 0.425
-2.446 -0.253 3.658
-0.024 3.344 2.871
Zn Ag Au
2 1 1
Direct
0.750 0.750 0.750
0.250 0.250 0.250
0.000 0.000 0.000
0.500 0.500 0.500
```

Spin magnetization, μB per formula unit: 0.00
Calculated density, g cm⁻³: 12.0
Energy above the lowest structure with this stoichiometry, meV/atom: 0.0
Volume, Å³ per cell: 60.5
Calculated formation energy, eV/atom: -0.17

***

[20]
Compound: Al2ZnRh
Source: Alexandria
Functional: PBEsol
Structure: relaxed

Cell and atoms, written as POSCAR:
```
Al2ZnRh
1.0
-4.306 2.327 -1.517
-3.599 -3.049 -3.115
-4.470 -0.389 3.438
Zn Al Rh
2 4 2
Direct
0.500 0.000 0.000
0.250 0.500 0.500
0.375 0.539 0.961
0.086 0.039 0.539
0.664 0.961 0.461
0.875 0.461 0.039
0.750 0.500 0.500
0.000 0.000 0.000
```

Spin magnetization, μB per formula unit: 0.00
Calculated density, g cm⁻³: 5.7
Volume, Å³ per cell: 130.1
Calculated formation energy, eV/atom: -0.04

***

[21]
Compound: ZnMoSe2
Source: Alexandria
Functional: PBEsol
Structure: relaxed

Cell and atoms, written as POSCAR:
```
ZnMoSe2
1.0
5.879 0.000 0.000
-2.939 5.941 0.038
0.000 2.876 5.127
Mo Zn Se
2 2 4
Direct
0.000 0.000 0.000
0.750 0.500 0.750
0.500 0.000 0.500
0.250 0.500 0.250
0.623 0.750 0.375
0.875 0.250 0.623
0.127 0.750 0.875
0.375 0.250 0.127
```

Spin magnetization, μB per formula unit: 1.39
Calculated density, g cm⁻³: 5.9
Final energy, eV per atom: -5.1578
Volume, Å³ per cell: 178.4

***

[22]
Compound: MnCo2P
Source: Alexandria
Functional: PBEsol
Structure: relaxed

Cell and atoms, written as POSCAR:
```
MnCo2P
1.0
-0.549 -2.127 1.333
1.983 1.156 2.662
-3.380 3.146 1.153
Co P Mn
2 1 1
Direct
0.193 0.500 0.386
0.814 0.000 0.627
0.952 0.500 0.904
0.550 0.000 0.100
```

Spin magnetization, μB per formula unit: 2.26
Calculated density, g cm⁻³: 8.2
Volume, Å³ per cell: 41.4
Calculated formation energy, eV/atom: -0.24

***

[23]
Compound: BaTa2MnS
Source: Alexandria
Functional: PBEsol
Structure: relaxed

Cell and atoms, written as POSCAR:
```
BaTa2MnS
1.0
4.465 0.000 0.000
0.000 4.748 0.000
0.000 0.000 4.748
Ba S Ta Mn
1 1 2 1
Direct
0.500 0.500 0.500
0.000 0.000 0.000
0.000 0.000 0.500
0.000 0.500 0.000
0.500 0.000 0.000
```

Spin magnetization, μB per formula unit: 2.87
Calculated density, g cm⁻³: 9.7
Final energy, eV per atom: -7.6926
Volume, Å³ per cell: 100.7

***

[24]
Compound: GdReB4
Source: Alexandria
Functional: PBEsol
Structure: relaxed

Cell and atoms, written as POSCAR:
```
GdReB4
1.0
-0.646 3.405 0.930
-5.819 -1.230 0.460
1.463 -2.759 11.114
Gd B Re
4 16 4
Direct
0.000 0.374 0.650
0.000 0.126 0.150
0.000 0.874 0.850
0.000 0.626 0.350
0.500 0.787 0.185
0.500 0.363 0.468
0.500 0.637 0.532
0.500 0.137 0.968
0.500 0.614 0.953
0.500 0.287 0.315
0.500 0.713 0.685
0.500 0.523 0.808
0.500 0.386 0.047
0.500 0.114 0.547
0.500 0.477 0.192
0.500 0.977 0.308
0.500 0.886 0.453
0.500 0.213 0.815
0.500 0.023 0.692
0.500 0.863 0.032
0.000 0.132 0.413
0.000 0.632 0.087
0.000 0.368 0.913
0.000 0.868 0.587
```

Spin magnetization, μB per formula unit: 6.77
Calculated density, g cm⁻³: 10.4
Volume, Å³ per cell: 247.1
Calculated formation energy, eV/atom: -0.63

***

[25]
Compound: Cs3CaZr
Source: Alexandria
Functional: PBEsol
Structure: relaxed

Cell and atoms, written as POSCAR:
```
Cs3CaZr
1.0
-4.321 -1.400 5.369
5.044 -3.827 3.062
2.313 5.732 3.356
Ca Zr Cs
1 1 3
Direct
0.500 0.500 0.500
0.000 0.000 0.000
0.500 0.000 0.000
0.000 0.500 0.000
0.000 0.000 0.500
```

Spin magnetization, μB per formula unit: 4.90
Calculated density, g cm⁻³: 2.5
Volume, Å³ per cell: 347.9
Calculated formation energy, eV/atom: 1.08

***

[26]
Compound: In2NiMo
Source: Alexandria
Functional: PBEsol
Structure: relaxed

Cell and atoms, written as POSCAR:
```
In2NiMo
1.0
4.100 0.000 0.000
0.000 4.100 0.000
-2.050 -2.050 3.944
In Ni Mo
2 1 1
Direct
0.250 0.750 0.500
0.750 0.250 0.500
0.000 0.000 0.000
0.500 0.500 0.000
```

Spin magnetization, μB per formula unit: 0.00
Calculated density, g cm⁻³: 9.6
Energy above the lowest structure with this stoichiometry, meV/atom: 168.7
Volume, Å³ per cell: 66.3
Calculated formation energy, eV/atom: 0.35